1.
The following is a DFT calculation (PBE) of a relaxed Pr2YAg4 crystal.

The structure in POSCAR format:
```
Pr2YAg4
1.0
-3.0155 -0.3644 4.4939
2.7902 -4.3976 1.5157
4.3541 6.1586 0.1476
Ag Pr Y
4 2 1
Cartesian
-0.5461 0.6743 2.9616
2.3567 -1.3423 1.4725
4.6750 0.7224 3.1955
1.7721 2.7390 4.6846
2.3881 2.1269 1.7749
1.7408 -0.7302 4.3823
0.0000 0.0000 0.0000
```

Output
As for the space group: I4/mmm. Its density of states at the Fermi level is 6.333 states/eV per cell. Its total energy is -4.023 eV per atom. The crystal system is tetragonal. The calculation puts the energy of formation from the pure elements at -0.734 eV/f.u.

2.
The following is a DFT calculation (PBE) of a relaxed Pr2YAg crystal.

The structure in POSCAR format:
```
Pr2YAg
1.0
-2.6581 -2.2207 -1.4064
-0.5035 -1.5329 3.3722
-6.1353 6.1526 1.8808
Ag Y Pr
1 1 2
Cartesian
-1.5808 -1.8768 0.9829
-4.6485 1.1995 1.9233
-1.3323 1.3361 0.4084
-4.8030 4.8166 1.4724
```

Output
As for the space group: P4/mmm. The calculation puts the energy above the lowest structure with this stoichiometry at 0.000 eV/atom. Its density of states at the Fermi level is 7.076 states/eV per cell. Its total energy is -4.811 eV per atom. The crystal system is tetragonal. The calculation puts the energy of formation from the pure elements at -0.368 eV/f.u.

3.
The following is a DFT calculation (PBE) of a relaxed Pr3YAg4 crystal.

The structure in POSCAR format:
```
Pr3YAg4
1.0
3.7263 0.0000 0.0000
0.0000 3.7263 0.0000
0.0000 0.0000 15.1750
Ag Pr Y
4 3 1
Cartesian
0.0000 0.0000 9.5125
0.0000 0.0000 5.6625
0.0000 0.0000 1.7186
0.0000 0.0000 13.4564
1.8631 1.8631 3.7236
1.8631 1.8631 7.5875
1.8631 1.8631 11.4514
1.8631 1.8631 0.0000
```

Output
As for the space group: P4/mmm. Its density of states at the Fermi level is 6.442 states/eV per cell. Its total energy is -4.292 eV per atom. The crystal system is tetragonal. The calculation puts the energy of formation from the pure elements at -2.132 eV/f.u.

4.
The following is a DFT calculation (PBE) of a relaxed Pr2YAg crystal.

The structure in POSCAR format:
```
Pr2YAg
1.0
-1.3606 0.7635 6.1015
-5.9929 -2.5250 -1.0204
4.4008 -5.0438 -1.6377
Pr Y Ag
4 2 2
Cartesian
0.9357 -2.2690 0.5535
-3.8883 -4.5363 2.8898
-0.9174 -3.2595 3.5144
-2.0353 -3.5459 -0.0711
-5.4029 -1.3842 3.3074
-1.9506 -0.3774 1.7737
-4.7543 -1.7481 0.3990
-2.5992 -0.0135 4.6820
```

Output
As for the space group: C2/c. The calculation puts the energy above the lowest structure with this stoichiometry at 0.051 eV/atom. Its density of states at the Fermi level is 8.770 states/eV per cell. Its total energy is -4.759 eV per atom. The crystal system is monoclinic. The calculation puts the energy of formation from the pure elements at -0.164 eV/f.u.

5.
The following is a DFT calculation (PBE) of a relaxed PrY2Ag crystal.

The structure in POSCAR format:
```
PrY2Ag
1.0
3.6660 0.0000 0.0000
0.0000 3.6660 0.0000
0.0000 0.0000 8.7097
Y Ag Pr
2 1 1
Cartesian
0.0000 0.0000 1.7940
0.0000 0.0000 6.9156
1.8330 1.8330 0.0000
1.8330 1.8330 4.3548
```

Output
As for the space group: P4/mmm. The calculation puts the energy above the lowest structure with this stoichiometry at 0.000 eV/atom. Its density of states at the Fermi level is 6.059 states/eV per cell. Its total energy is -5.277 eV per atom. The crystal system is tetragonal. The calculation puts the energy of formation from the pure elements at -0.550 eV/f.u.

6.
The following is a DFT calculation (PBE) of a relaxed PrYAg4 crystal.

The structure in POSCAR format:
```
PrYAg4
1.0
5.7686 0.0000 0.0000
2.8843 4.9957 0.0000
2.8843 1.6652 4.7100
Ag Y Pr
4 1 1
Cartesian
5.7686 3.3305 0.5944
7.2061 4.1604 2.9419
4.3311 4.1604 2.9419
5.7686 1.6706 2.9419
2.8843 1.6652 1.1775
0.0000 0.0000 0.0000
```

Output
As for the space group: F-43m. The calculation puts the energy above the lowest structure with this stoichiometry at 0.107 eV/atom. Its density of states at the Fermi level is 4.516 states/eV per cell. Its total energy is -3.938 eV per atom. The crystal system is cubic. The calculation puts the energy of formation from the pure elements at -0.977 eV/f.u.

7.
The following is a DFT calculation (PBE) of a relaxed Pr5YAg4 crystal.

The structure in POSCAR format:
```
Pr5YAg4
1.0
3.7491 0.0000 0.0000
0.0000 3.7491 0.0000
0.0000 0.0000 20.3363
Pr Y Ag
5 1 4
Cartesian
1.8746 1.8746 10.1682
1.8746 1.8746 14.0203
1.8746 1.8746 17.8394
1.8746 1.8746 2.4970
1.8746 1.8746 6.3160
0.0000 0.0000 0.0000
0.0000 0.0000 12.0953
0.0000 0.0000 15.9450
0.0000 0.0000 4.3914
0.0000 0.0000 8.2411
```

Output
As for the space group: P4/mmm. Its density of states at the Fermi level is 11.209 states/eV per cell. Its total energy is -4.363 eV per atom. The crystal system is tetragonal. The calculation puts the energy of formation from the pure elements at -1.867 eV/f.u.

8.
The following is a DFT calculation (PBE) of a relaxed Pr3Y2Ag3 crystal.

The structure in POSCAR format:
```
Pr3Y2Ag3
1.0
3.6872 0.0000 -0.5938
-0.2058 5.3137 -1.2778
-0.0221 -0.0242 11.6067
Ag Y Pr
3 2 3
Cartesian
3.0404 4.6478 7.1342
-0.1029 2.6569 -0.6389
0.4189 0.6416 2.6008
2.6410 1.2215 4.6542
0.8183 4.0680 5.0808
1.8436 0.0000 -0.2969
1.3003 1.9919 8.0737
2.1590 3.2976 1.6614
```

Output
As for the space group: Immm. Its density of states at the Fermi level is 8.979 states/eV per cell. Its total energy is -4.662 eV per atom. The crystal system is orthorhombic. The calculation puts the energy of formation from the pure elements at -1.477 eV/f.u.

9.
The following is a DFT calculation (PBE) of a relaxed PrY4Ag crystal.

The structure in POSCAR format:
```
PrY4Ag
1.0
3.6134 -0.0007 0.0001
0.0007 3.6134 0.0001
-0.0010 -0.0010 13.9983
Y Pr Ag
4 1 1
Cartesian
1.8069 1.8062 2.5749
-0.0003 -0.0003 5.1350
3.6135 3.6121 8.8635
1.8063 1.8056 11.4236
0.0000 0.0000 0.0000
1.8066 1.8059 6.9993
```

Output
As for the space group: P4/mmm. The calculation puts the energy above the lowest structure with this stoichiometry at 0.000 eV/atom. Its density of states at the Fermi level is 9.009 states/eV per cell. Its total energy is -5.662 eV per atom. The crystal system is tetragonal. The calculation puts the energy of formation from the pure elements at -0.484 eV/f.u.

10.
The following is a DFT calculation (PBE) of a relaxed PrYAg4 crystal.

The structure in POSCAR format:
```
PrYAg4
1.0
-0.5239 -5.2909 -0.8426
4.8109 -0.1008 -2.4176
4.4786 -0.9184 2.9526
Ag Pr Y
4 1 1
Cartesian
1.5258 -0.1686 0.0499
5.0990 -3.4629 1.2886
7.7390 -0.8562 0.4472
3.6426 -2.8531 -1.6348
4.6324 -0.5125 0.2485
1.9653 -3.1075 1.0358
```

Output
As for the space group: C2/m. The calculation puts the energy above the lowest structure with this stoichiometry at 0.001 eV/atom. Its density of states at the Fermi level is 3.019 states/eV per cell. Its total energy is -4.044 eV per atom. The crystal system is monoclinic. The calculation puts the energy of formation from the pure elements at -1.613 eV/f.u.

11.
The following is a DFT calculation (PBE) of a relaxed PrY2Ag crystal.

The structure in POSCAR format:
```
PrY2Ag
1.0
-0.4029 -1.9520 4.4828
0.8604 -4.4025 -1.8397
4.7548 0.6351 0.7039
Ag Y Pr
1 2 1
Cartesian
2.6061 -2.8597 1.6735
2.3774 0.3175 0.3520
0.4302 -2.2012 -0.9199
-0.2015 -0.9760 2.2414
```

Output
As for the space group: P4/mmm. The calculation puts the energy above the lowest structure with this stoichiometry at 0.162 eV/atom. Its density of states at the Fermi level is 6.462 states/eV per cell. Its total energy is -5.115 eV per atom. The crystal system is tetragonal. The calculation puts the energy of formation from the pure elements at 0.098 eV/f.u.

12.
The following is a DFT calculation (PBE) of a relaxed PrY4Ag crystal.

The structure in POSCAR format:
```
PrY4Ag
1.0
5.4497 0.0000 0.0000
0.0000 6.5532 0.0000
-2.7249 0.0000 10.6662
Y Pr Ag
8 2 2
Cartesian
0.0000 4.6784 1.4330
2.7249 0.5812 5.1093
0.0000 5.6845 9.9300
0.0000 3.8578 5.5570
0.0000 0.5197 6.9527
2.7248 3.7963 3.7135
2.7249 2.4079 0.7362
2.7249 1.4018 9.2332
0.0000 1.4497 2.9051
2.7249 4.7263 7.7611
2.7248 6.3098 2.1468
0.0000 3.0332 8.5194
```

Output
As for the space group: Cmc2_1. The calculation puts the energy above the lowest structure with this stoichiometry at 0.133 eV/atom. Its density of states at the Fermi level is 19.963 states/eV per cell. Its total energy is -5.528 eV per atom. The crystal system is orthorhombic. The calculation puts the energy of formation from the pure elements at 0.317 eV/f.u.